#one
# PmAlSe3 | Alexandria via LeMat-Bulk | PBE-GGA | relaxed
# Total magnetic moment in μB per cell: 0.00
# V in Å³/atom: 26.8
data_PmAlSe3
_cell_length_a 7.300
_cell_length_b 7.125
_cell_length_c 10.323
_cell_angle_alpha 90.00
_cell_angle_beta 90.00
_cell_angle_gamma 90.00
_space_group_name_H-M_alt 'P 1'
_space_group_IT_number 1
loop_
_space_group_symop_operation_xyz
'x,y,z'
loop_
_atom_site_label
_atom_site_type_symbol
_atom_site_fract_x
_atom_site_fract_y
_atom_site_fract_z
_atom_site_occupancy
Pm1 Pm 0.116 0.087 0.000 1
Pm2 Pm 0.384 0.587 0.500 1
Pm3 Pm 0.616 0.413 0.000 1
Pm4 Pm 0.884 0.913 0.500 1
Al1 Al 0.207 0.644 0.146 1
Al2 Al 0.293 0.144 0.646 1
Al3 Al 0.707 0.856 0.146 1
Al4 Al 0.793 0.356 0.646 1
Se1 Se 0.061 0.305 0.507 1
Se2 Se 0.186 0.836 0.686 1
Se3 Se 0.197 0.847 0.329 1
Se4 Se 0.303 0.347 0.829 1
Se5 Se 0.314 0.336 0.186 1
Se6 Se 0.439 0.805 0.007 1
Se7 Se 0.561 0.195 0.507 1
Se8 Se 0.686 0.664 0.686 1
Se9 Se 0.697 0.653 0.329 1
Se10 Se 0.803 0.153 0.829 1
Se11 Se 0.814 0.164 0.186 1
Se12 Se 0.939 0.695 0.007 1


#two
# PmAlSe3 | Alexandria via LeMat-Bulk | PBE-GGA | relaxed
# Total magnetic moment in μB per cell: 0.00
# V in Å³/atom: 25.8
data_PmAlSe3
_cell_length_a 7.895
_cell_length_b 7.895
_cell_length_c 4.385
_cell_angle_alpha 90.81
_cell_angle_beta 90.81
_cell_angle_gamma 70.68
_space_group_name_H-M_alt 'P 1'
_space_group_IT_number 1
loop_
_space_group_symop_operation_xyz
'x,y,z'
loop_
_atom_site_label
_atom_site_type_symbol
_atom_site_fract_x
_atom_site_fract_y
_atom_site_fract_z
_atom_site_occupancy
Pm1 Pm 0.235 0.235 0.258 1
Pm2 Pm 0.765 0.765 0.742 1
Al1 Al 0.312 0.688 0.500 1
Al2 Al 0.688 0.312 0.500 1
Se1 Se 0.053 0.662 0.248 1
Se2 Se 0.338 0.947 0.752 1
Se3 Se 0.398 0.398 0.756 1
Se4 Se 0.602 0.602 0.244 1
Se5 Se 0.662 0.053 0.248 1
Se6 Se 0.947 0.338 0.752 1


The winner here is #one, beating the second structure by 0.029 eV/atom.


#one
# Pm3Al2Si4 | Alexandria via LeMat-Bulk | PBE-GGA | relaxed
# Total magnetic moment in μB per cell: 0.00
# V in Å³/atom: 20.9
data_Pm3Al2Si4
_cell_length_a 5.874
_cell_length_b 5.874
_cell_length_c 8.290
_cell_angle_alpha 100.54
_cell_angle_beta 100.54
_cell_angle_gamma 42.06
_space_group_name_H-M_alt 'P 1'
_space_group_IT_number 1
loop_
_space_group_symop_operation_xyz
'x,y,z'
loop_
_atom_site_label
_atom_site_type_symbol
_atom_site_fract_x
_atom_site_fract_y
_atom_site_fract_z
_atom_site_occupancy
Pm1 Pm 0.000 0.000 0.000 1
Pm2 Pm 0.335 0.335 0.329 1
Pm3 Pm 0.665 0.665 0.671 1
Al1 Al 0.388 0.388 0.724 1
Al2 Al 0.612 0.612 0.276 1
Si1 Si 0.058 0.058 0.391 1
Si2 Si 0.279 0.279 0.951 1
Si3 Si 0.721 0.721 0.049 1
Si4 Si 0.942 0.942 0.609 1


#two
# Pm3Al2Si4 | Alexandria via LeMat-Bulk | PBE-GGA | relaxed
# Total magnetic moment in μB per cell: 0.00
# V in Å³/atom: 20.7
data_Pm3Al2Si4
_cell_length_a 5.936
_cell_length_b 5.936
_cell_length_c 8.631
_cell_angle_alpha 109.63
_cell_angle_beta 109.63
_cell_angle_gamma 41.07
_space_group_name_H-M_alt 'P 1'
_space_group_IT_number 1
loop_
_space_group_symop_operation_xyz
'x,y,z'
loop_
_atom_site_label
_atom_site_type_symbol
_atom_site_fract_x
_atom_site_fract_y
_atom_site_fract_z
_atom_site_occupancy
Pm1 Pm 0.000 0.000 0.000 1
Pm2 Pm 0.381 0.381 0.307 1
Pm3 Pm 0.619 0.619 0.693 1
Al1 Al 0.324 0.324 0.676 1
Al2 Al 0.676 0.676 0.324 1
Si1 Si 0.097 0.097 0.409 1
Si2 Si 0.277 0.277 0.945 1
Si3 Si 0.723 0.723 0.055 1
Si4 Si 0.903 0.903 0.591 1


The winner here is #one, beating the second structure by 0.027 eV/atom.


#one
# TbPmAlSi | Alexandria via LeMat-Bulk | PBE-GGA | relaxed
# Total magnetic moment in μB per cell: 0.00
# V in Å³/atom: 24.5
data_TbPmAlSi
_cell_length_a 4.031
_cell_length_b 5.955
_cell_length_c 5.955
_cell_angle_alpha 43.35
_cell_angle_beta 90.00
_cell_angle_gamma 90.00
_space_group_name_H-M_alt 'P 1'
_space_group_IT_number 1
loop_
_space_group_symop_operation_xyz
'x,y,z'
loop_
_atom_site_label
_atom_site_type_symbol
_atom_site_fract_x
_atom_site_fract_y
_atom_site_fract_z
_atom_site_occupancy
Tb1 Tb 0.000 0.000 0.000 1
Pm1 Pm 0.500 0.283 0.283 1
Al1 Al 0.000 0.708 0.708 1
Si1 Si 0.500 0.566 0.566 1


#two
# TbPmAlSi | Alexandria via LeMat-Bulk | PBE-GGA | relaxed
# Total magnetic moment in μB per cell: 0.00
# V in Å³/atom: 23.7
data_TbPmAlSi
_cell_length_a 5.120
_cell_length_b 5.120
_cell_length_c 5.120
_cell_angle_alpha 60.00
_cell_angle_beta 60.00
_cell_angle_gamma 60.00
_space_group_name_H-M_alt 'P 1'
_space_group_IT_number 1
loop_
_space_group_symop_operation_xyz
'x,y,z'
loop_
_atom_site_label
_atom_site_type_symbol
_atom_site_fract_x
_atom_site_fract_y
_atom_site_fract_z
_atom_site_occupancy
Tb1 Tb 0.000 0.000 0.000 1
Pm1 Pm 0.500 0.500 0.500 1
Al1 Al 0.750 0.750 0.750 1
Si1 Si 0.250 0.250 0.250 1


The winner here is #one, beating the second structure by 0.274 eV/atom.


#one
# PmTmAlSi | Alexandria via LeMat-Bulk | PBE-GGA | relaxed
# Total magnetic moment in μB per cell: 0.00
# V in Å³/atom: 23.9
data_PmTmAlSi
_cell_length_a 4.005
_cell_length_b 5.888
_cell_length_c 5.888
_cell_angle_alpha 43.47
_cell_angle_beta 90.00
_cell_angle_gamma 90.00
_space_group_name_H-M_alt 'P 1'
_space_group_IT_number 1
loop_
_space_group_symop_operation_xyz
'x,y,z'
loop_
_atom_site_label
_atom_site_type_symbol
_atom_site_fract_x
_atom_site_fract_y
_atom_site_fract_z
_atom_site_occupancy
Pm1 Pm 0.000 0.000 0.000 1
Tm1 Tm 0.500 0.283 0.283 1
Al1 Al 0.500 0.575 0.575 1
Si1 Si 0.000 0.720 0.720 1


#two
# PmTmAlSi | Alexandria via LeMat-Bulk | PBE-GGA | relaxed
# Total magnetic moment in μB per cell: 0.00
# V in Å³/atom: 23.1
data_PmTmAlSi
_cell_length_a 5.072
_cell_length_b 5.072
_cell_length_c 5.072
_cell_angle_alpha 60.00
_cell_angle_beta 60.00
_cell_angle_gamma 60.00
_space_group_name_H-M_alt 'P 1'
_space_group_IT_number 1
loop_
_space_group_symop_operation_xyz
'x,y,z'
loop_
_atom_site_label
_atom_site_type_symbol
_atom_site_fract_x
_atom_site_fract_y
_atom_site_fract_z
_atom_site_occupancy
Pm1 Pm 0.000 0.000 0.000 1
Tm1 Tm 0.500 0.500 0.500 1
Al1 Al 0.250 0.250 0.250 1
Si1 Si 0.750 0.750 0.750 1


The winner here is #one, beating the second structure by 0.272 eV/atom.


#one
# Pm2SmAl | Alexandria via LeMat-Bulk | PBE-GGA | relaxed
# Total magnetic moment in μB per cell: 0.01
# V in Å³/atom: 28.9
data_Pm2SmAl
_cell_length_a 5.468
_cell_length_b 5.468
_cell_length_c 5.468
_cell_angle_alpha 60.00
_cell_angle_beta 60.00
_cell_angle_gamma 60.00
_space_group_name_H-M_alt 'P 1'
_space_group_IT_number 1
loop_
_space_group_symop_operation_xyz
'x,y,z'
loop_
_atom_site_label
_atom_site_type_symbol
_atom_site_fract_x
_atom_site_fract_y
_atom_site_fract_z
_atom_site_occupancy
Pm1 Pm 0.250 0.250 0.250 1
Pm2 Pm 0.750 0.750 0.750 1
Sm1 Sm 0.000 0.000 0.000 1
Al1 Al 0.500 0.500 0.500 1


#two
# Pm2SmAl | Alexandria via LeMat-Bulk | PBE-GGA | relaxed
# Total magnetic moment in μB per cell: 0.00
# V in Å³/atom: 31.2
data_Pm2SmAl
_cell_length_a 10.864
_cell_length_b 10.864
_cell_length_c 10.864
_cell_angle_alpha 19.49
_cell_angle_beta 19.49
_cell_angle_gamma 19.49
_space_group_name_H-M_alt 'P 1'
_space_group_IT_number 1
loop_
_space_group_symop_operation_xyz
'x,y,z'
loop_
_atom_site_label
_atom_site_type_symbol
_atom_site_fract_x
_atom_site_fract_y
_atom_site_fract_z
_atom_site_occupancy
Pm1 Pm 0.000 0.000 0.000 1
Pm2 Pm 0.189 0.189 0.189 1
Sm1 Sm 0.761 0.761 0.761 1
Al1 Al 0.595 0.595 0.595 1


The winner here is #two, beating the second structure by 0.007 eV/atom.


#one
# Pm2SmAl | Alexandria via LeMat-Bulk | PBE-GGA | relaxed
# Total magnetic moment in μB per cell: 0.00
# V in Å³/atom: 28.8
data_Pm2SmAl
_cell_length_a 5.360
_cell_length_b 7.046
_cell_length_c 7.046
_cell_angle_alpha 59.96
_cell_angle_beta 90.00
_cell_angle_gamma 90.00
_space_group_name_H-M_alt 'P 1'
_space_group_IT_number 1
loop_
_space_group_symop_operation_xyz
'x,y,z'
loop_
_atom_site_label
_atom_site_type_symbol
_atom_site_fract_x
_atom_site_fract_y
_atom_site_fract_z
_atom_site_occupancy
Pm1 Pm 0.000 0.000 0.000 1
Pm2 Pm 0.000 0.000 0.467 1
Pm3 Pm 0.000 0.467 0.000 1
Pm4 Pm 0.500 0.644 0.644 1
Sm1 Sm 0.500 0.177 0.644 1
Sm2 Sm 0.500 0.644 0.177 1
Al1 Al 0.000 0.488 0.488 1
Al2 Al 0.500 0.156 0.156 1


#two
# Pm2SmAl | Alexandria via LeMat-Bulk | PBE-GGA | relaxed
# Total magnetic moment in μB per cell: 0.00
# V in Å³/atom: 28.7
data_Pm2SmAl
_cell_length_a 4.858
_cell_length_b 4.858
_cell_length_c 4.865
_cell_angle_alpha 90.00
_cell_angle_beta 90.00
_cell_angle_gamma 90.00
_space_group_name_H-M_alt 'P 1'
_space_group_IT_number 1
loop_
_space_group_symop_operation_xyz
'x,y,z'
loop_
_atom_site_label
_atom_site_type_symbol
_atom_site_fract_x
_atom_site_fract_y
_atom_site_fract_z
_atom_site_occupancy
Pm1 Pm 0.000 0.500 0.000 1
Pm2 Pm 0.500 0.000 0.000 1
Sm1 Sm 0.000 0.000 0.500 1
Al1 Al 0.500 0.500 0.500 1


#three
# Pm2SmAl | Alexandria via LeMat-Bulk | PBE-GGA | relaxed
# Total magnetic moment in μB per cell: 0.00
# V in Å³/atom: 29.8
data_Pm2SmAl
_cell_length_a 3.576
_cell_length_b 3.576
_cell_length_c 9.321
_cell_angle_alpha 90.00
_cell_angle_beta 90.00
_cell_angle_gamma 90.00
_space_group_name_H-M_alt 'P 1'
_space_group_IT_number 1
loop_
_space_group_symop_operation_xyz
'x,y,z'
loop_
_atom_site_label
_atom_site_type_symbol
_atom_site_fract_x
_atom_site_fract_y
_atom_site_fract_z
_atom_site_occupancy
Pm1 Pm 0.000 0.000 0.213 1
Pm2 Pm 0.000 0.000 0.787 1
Sm1 Sm 0.500 0.500 0.500 1
Al1 Al 0.500 0.500 0.000 1


The winner here is #one, beating the second structure by 0.017 eV/atom.